# 1
Below is crystalline LiPtF3 at its relaxed geometry, with properties calculated at the PBE level.

Cell lengths 3.7525, 3.7525, 3.7525 Å; angles 90.00, 90.00, 90.00 degrees
With the nearest neighbours (Å) after each atom.
Atoms (fractional coordinates):
Li1 0.0000 0.0000 0.0000  6 F 1.88
Pt1 0.5000 0.5000 0.5000  12 F 2.65
F1 0.0000 0.0000 0.5000  2 Li 1.88
F2 0.0000 0.5000 0.0000  2 Li 1.88
F3 0.5000 0.0000 0.0000  2 Li 1.88

Results
- E_tot: -3.8551 eV/atom
- ΔE_f (raw): -1.1413 eV per atom
- Excess energy over the best structure of this formula in the dataset: 144 meV/atom
- D(E_F): 3.13 states/eV per cell
- ρ: 8.14 g cm⁻³
- V: 10.6 Å³ per atom

=====

# 2
Below is crystalline LiPbSN2 at its relaxed geometry, with properties calculated at the PBE level.

Cell lengths 4.2217, 4.2217, 4.6954 Å; angles 90.00, 90.00, 90.00 degrees
With the nearest neighbours (Å) after each atom.
Atoms (fractional coordinates):
Li1 0.0000 0.0000 0.0000  4 N 2.11, 2 S 2.35
Pb1 0.5000 0.5000 0.5000  4 S 2.99, 8 N 3.16
S1 0.0000 0.0000 0.5000  2 Li 2.35
N1 0.0000 0.5000 0.0000  2 Li 2.11
N2 0.5000 0.0000 0.0000  2 Li 2.11

Results
- E_tot: -4.0207 eV/atom
- ΔE_f (raw): 1.2594 eV per atom
- Excess energy over the best structure of this formula in the dataset: 14 meV/atom
- D(E_F): 1.53 states/eV per cell
- ρ: 5.44 g cm⁻³
- V: 16.7 Å³ per atom